[1]
Computed, not measured: an optimized crystal structure of Cr2HgIr at the GGA-PBE level of DFT.

Computed properties:
- Formation enthalpy at 0 K: 324.9 meV/atom
- Calculated total energy: -27.11 eV/f.u.
- V: 14.82 Å³ per atom

a = 2.7517 Å, b = 2.7517 Å, c = 7.8294 Å
α = 90.00°, β = 90.00°, γ = 90.02°
Each line ends with the local moment (μB).
Element x y z (fractional)
1 Hg 0.5000 0.5000 0.2500  -0.02
2 Ir 0.5000 0.5000 0.7500  -0.14
3 Cr 0.0000 0.0000 0.5247  0.94
4 Cr 0.0000 0.0000 0.9753  0.94



[2]
Computed, not measured: an optimized crystal structure of La2AgOs at the GGA-PBE level of DFT.

Computed properties:
- Formation enthalpy at 0 K: 163.4 meV/atom
- Calculated total energy: -23.28 eV/f.u.
- V: 22.32 Å³ per atom

a = 5.0166 Å, b = 5.0166 Å, c = 5.0166 Å
α = 60.00°, β = 60.00°, γ = 60.00°
Element x y z (fractional)
1 Os 0.7500 0.7500 0.7500
2 La 0.0000 0.0000 0.0000
3 La 0.2500 0.2500 0.2500
4 Ag 0.5000 0.5000 0.5000



[3]
Computed, not measured: an optimized crystal structure of BeGa3Pt at the GGA-PBE level of DFT.

Computed properties:
- Formation enthalpy at 0 K: 314.6 meV/atom
- Calculated total energy: -17.27 eV/f.u.
- Energy above the lowest structure with this stoichiometry: 42 meV/atom
- V: 22.56 Å³ per atom

a = 4.8314 Å, b = 4.8314 Å, c = 4.8314 Å
α = 90.00°, β = 90.00°, γ = 90.00°
Element x y z (fractional)
1 Ga 0.0000 0.5000 0.0000
2 Ga 0.0000 0.0000 0.5000
3 Ga 0.5000 0.0000 0.0000
4 Be 0.5000 0.5000 0.5000
5 Pt 0.0000 0.0000 0.0000



[4]
Computed, not measured: an optimized crystal structure of Np3P2IrRh9 at the GGA-PBE level of DFT.

Computed properties:
- Formation enthalpy at 0 K: -217.9 meV/atom
- Calculated total energy: -127.93 eV/f.u.
- V: 18.56 Å³ per atom

a = 5.4851 Å, b = 5.4851 Å, c = 10.6864 Å
α = 90.00°, β = 90.00°, γ = 120.00°
Each line ends with the local moment (μB).
Element x y z (fractional)
1 Rh 0.8366 0.6731 0.6952  -0.25
2 Rh 0.6731 0.8366 0.3048  -0.25
3 Rh 0.1634 0.8366 0.3048  -0.25
4 Rh 0.5000 0.0000 0.0000  -0.21
5 Rh 0.8366 0.1634 0.6952  -0.25
6 Rh 0.5000 0.5000 0.0000  -0.21
7 Rh 0.0000 0.5000 0.0000  -0.21
8 Rh 0.3269 0.1634 0.6952  -0.25
9 Rh 0.1634 0.3269 0.3048  -0.25
10 P 0.3333 0.6667 0.1570  -0.01
11 P 0.6667 0.3333 0.8430  -0.01
12 Np 0.3333 0.6667 0.5692  3.54
13 Np 0.6667 0.3333 0.4308  3.54
14 Np 0.0000 0.0000 0.0000  3.33
15 Ir 0.0000 0.0000 0.5000  -0.45



- What is the V in the third record?
  22.56 Å³ per atom